--- a ---
Density functional theory data (GGA-PBE) for crystalline TaTlFeNi at its relaxed geometry.

a b c (Å): 6.2411 6.2411 6.2411
angles (deg): 90.00 90.00 90.00
Space group F-43m (No. 216)
One atom of each set of equivalent atoms:
Ta (0.0000, 0.0000, 0.0000) (multiplicity 4)
Tl (0.0000, 0.0000, 0.5000) (multiplicity 4)
Fe (0.2500, 0.2500, 0.7500) (multiplicity 4)
Ni (0.2500, 0.2500, 0.2500) (multiplicity 4)

***

--- b ---
Density functional theory data (GGA-PBE) for crystalline TaTlFeNi at its relaxed geometry.

a b c (Å): 6.3518 6.3518 6.3518
angles (deg): 90.00 90.00 90.00
Space group F-43m (No. 216)
One atom of each set of equivalent atoms:
Ta (0.0000, 0.0000, 0.0000) (multiplicity 4)
Tl (0.2500, 0.2500, 0.2500) (multiplicity 4)
Fe (0.0000, 0.0000, 0.5000) (multiplicity 4)
Ni (0.2500, 0.2500, 0.7500) (multiplicity 4)

***

Q: Which of them is the least stable? A: b.